# PmEu2Cd PBE optimized geometry
# Total moment (μB per formula unit): 15.19
# Calculated total energy (eV per atom): -6.536
# Calculated formation energy (eV per atom): 0.018
# N(E_F) (states/eV/f.u.): 4.61
# Energy relative to the lowest polymorph listed for this composition (kJ per mole of atoms): 12.0
data_PmEu2Cd
_chemical_formula_sum 'Pm4 Eu8 Cd4'
_cell_length_a 8.0721
_cell_length_b 8.0721
_cell_length_c 8.0721
_cell_angle_alpha 90.00
_cell_angle_beta 90.00
_cell_angle_gamma 90.00
_space_group_name_H-M_alt 'F m -3 m'
_space_group_IT_number 225
_space_group_name_Hall '-F 4 2 3'
loop_
_atom_site_label
_atom_site_fract_x
_atom_site_fract_y
_atom_site_fract_z
_atom_site_occupancy
Pm1 0.0000 0.0000 0.0000 1
Eu1 0.2500 0.2500 0.2500 1
Cd1 0.0000 0.0000 0.5000 1

# CrPt2SeBr PBE optimized geometry
# Total moment (μB per formula unit): 3.26
# Calculated total energy (eV per atom): -4.789
# N(E_F) (states/eV/f.u.): 3.87
# E_form (uncorrected) (kJ/mol of atoms): 56.3
data_CrPt2SeBr
_chemical_formula_sum 'Cr1 Pt2 Se1 Br1'
_cell_length_a 4.7459
_cell_length_b 4.7459
_cell_length_c 4.9906
_cell_angle_alpha 90.00
_cell_angle_beta 90.00
_cell_angle_gamma 90.00
_space_group_name_H-M_alt 'P 4/m m m'
_space_group_IT_number 123
_space_group_name_Hall '-P 4 2'
loop_
_atom_site_label
_atom_site_fract_x
_atom_site_fract_y
_atom_site_fract_z
_atom_site_occupancy
Cr1 0.0000 0.0000 0.0000 1
Pt1 0.0000 0.5000 0.5000 1
Se1 0.0000 0.0000 0.5000 1
Br1 0.5000 0.5000 0.0000 1